1.
This record from Alexandria describes an optimized crystal structure of Cr2As2Ru. The functional is PBE.

The structure in POSCAR format:
```
Cr2As2Ru
1.0
6.784 0.000 0.000
0.000 6.784 0.000
0.000 0.000 2.995
Cr As Ru
4 4 2
direct
0.130 0.370 0.000
0.370 0.870 0.000
0.630 0.130 0.000
0.870 0.630 0.000
0.164 0.664 0.500
0.336 0.164 0.500
0.664 0.836 0.500
0.836 0.336 0.500
0.000 0.000 0.500
0.500 0.500 0.500
```

Properties
* formation energy: 0.67 eV/f.u.
* space group: P4/mbm
* total magnetization: 0.008 μB/atom
* volume: 13.8 Å³ per atom
* crystal system: tetragonal
* DOS at the Fermi energy: 10.261 states/eV/cell

2.
This record from Alexandria describes an optimized crystal structure of Ba2TlBr. The functional is PBE.

The structure in POSCAR format:
```
Ba2TlBr
1.0
0.000 4.273 4.273
4.273 0.000 4.273
4.273 4.273 0.000
Ba Tl Br
2 1 1
direct
0.000 0.000 0.000
0.250 0.250 0.250
0.750 0.750 0.750
0.500 0.500 0.500
```

Properties
* space group: F-43m
* ΔE to the lowest computed polymorph: 620 meV per atom
* total magnetization: 0.001 μB/atom
* energy relative to the elements, uncorrected: -0.3701 eV/atom
* volume: 39.0 Å³ per atom
* crystal system: cubic
* DOS at the Fermi energy: 5.861 states/eV/cell

3.
This record from Alexandria describes an optimized crystal structure of TiBeGa2. The functional is PBE.

The structure in POSCAR format:
```
TiBeGa2
1.0
3.809 0.000 0.000
0.000 3.809 0.000
0.000 0.000 3.804
Ti Be Ga
1 1 2
direct
0.000 0.000 0.000
0.500 0.500 0.000
0.000 0.500 0.500
0.500 0.000 0.500
```

Properties
* formation energy: -1.25 eV/f.u.
* space group: P4/mmm
* ΔE to the lowest computed polymorph: 0 meV per atom
* total magnetization: 0.000 μB/atom
* volume: 13.8 Å³ per atom
* crystal system: tetragonal
* DOS at the Fermi energy: 1.484 states/eV/cell